Below is ZrMo2O8 after structural relaxation, with properties calculated at the PBE with a Hubbard U level.

a = 5.9580 Å, b = 5.9580 Å, c = 6.5824 Å
α = 90.00°, β = 90.00°, γ = 120.00°
Space group P-3m1 (No. 164)
Symmetry-distinct sites (fractional):
Zr 0.0000 0.0000 0.0000
Mo 0.3333 0.6667 0.2757
O 0.1672 0.3344 0.1828
O 0.3333 0.6667 0.5380

Output
energy: -85.0 eV for the cell shown
distance to the lowest polymorph of the same formula: 0.4 meV/atom